{
  "formula": "Ac2Ho2Sn2C",
  "functional": "GGA-PBE",
  "state": "optimized geometry",
  "total_magnetization_mub_per_fu": 0.0,
  "n_ef_per_ev_atom": 0.086,
  "delta_e_f_ev_per_atom": -0.692,
  "lattice_angstrom": [[-2.4408, 3.5042, -2.4477], [-4.0260, -0.9379, 2.6720], [5.7526, 4.5540, 5.7324]],
  "species": ["C", "Ac", "Ho", "Sn", "Ac", "Ho", "Sn"],
  "fractional_positions": [[0.0000, 0.0000, 0.0000], [0.1621, 0.1621, 0.3243], [0.0000, 0.5000, 0.0000], [0.3713, 0.3713, 0.7427], [0.8379, 0.8379, 0.6757], [0.5000, 0.0000, 0.0000], [0.6287, 0.6287, 0.2573]]
}

***

{
  "formula": "Pr2FePd",
  "functional": "GGA-PBE",
  "state": "optimized geometry",
  "total_magnetization_mub_per_fu": 1.2,
  "n_ef_per_ev_atom": 1.167,
  "delta_e_f_ev_per_atom": -0.191,
  "lattice_angstrom": [[3.5958, 0.0000, 0.0000], [0.0000, 3.5958, 0.0000], [0.0000, 0.0000, 7.2114]],
  "species": ["Pd", "Pr", "Fe", "Pr"],
  "fractional_positions": [[0.5000, 0.5000, 0.5000], [0.0000, 0.0000, 0.7571], [0.5000, 0.5000, 0.0000], [0.0000, 0.0000, 0.2429]]
}

***

{
  "formula": "BaRe2Mo",
  "functional": "GGA-PBE",
  "state": "optimized geometry",
  "total_magnetization_mub_per_fu": 0.0,
  "n_ef_per_ev_atom": 0.727,
  "de_polymorph_mev_per_atom": 0.0,
  "delta_e_f_ev_per_atom": 0.767,
  "lattice_angstrom": [[-0.4058, 1.4047, 2.8698], [-1.5515, -2.6158, 1.0610], [7.0501, -3.1515, 2.5395]],
  "species": ["Mo", "Ba", "Re", "Re"],
  "fractional_positions": [[0.5000, 0.5000, 0.7500], [0.5000, 0.5000, 0.2500], [0.0000, 0.0000, 0.5794], [0.0000, 0.0000, 0.9206]]
}

***

{
  "formula": "DyErHf",
  "functional": "GGA-PBE",
  "state": "optimized geometry",
  "total_magnetization_mub_per_fu": 0.0,
  "n_ef_per_ev_atom": 1.348,
  "de_polymorph_mev_per_atom": 190.6,
  "delta_e_f_ev_per_atom": 0.280,
  "lattice_angstrom": [[3.2660, 0.0000, 0.0000], [0.0000, 8.4044, 0.0000], [0.0000, 0.0000, 6.1429]],
  "species": ["Dy", "Hf", "Dy", "Er", "Hf", "Er"],
  "fractional_positions": [[0.5000, 0.2115, 0.2500], [0.0000, 0.5000, 0.5000], [0.5000, 0.7885, 0.7500], [0.0000, 0.8396, 0.2500], [0.0000, 0.5000, 0.0000], [0.0000, 0.1604, 0.7500]]
}

***

{
  "formula": "Pm6Y3Ho2Mg",
  "functional": "GGA-PBE",
  "state": "optimized geometry",
  "total_magnetization_mub_per_fu": 0.0,
  "n_ef_per_ev_atom": 1.105,
  "delta_e_f_ev_per_atom": 0.022,
  "lattice_angstrom": [[6.2244, -0.0026, -0.0012], [-3.1130, 5.3900, -0.0012], [-1.0398, -1.8004, 11.5800]],
  "species": ["Pm", "Y", "Pm", "Y", "Pm", "Pm", "Ho", "Y", "Pm", "Ho", "Pm", "Mg"],
  "fractional_positions": [[0.2512, 0.2512, 0.7518], [0.8337, 0.1663, 0.5000], [0.0816, 0.4145, 0.2471], [0.5000, 0.5000, 0.5000], [0.7488, 0.7488, 0.2482], [0.9184, 0.5855, 0.7529], [0.3335, 0.6665, 0.0000], [0.1663, 0.8337, 0.5000], [0.4145, 0.0816, 0.2471], [0.6665, 0.3335, 0.0000], [0.5855, 0.9184, 0.7529], [0.0000, 0.0000, 0.0000]]
}

***

{
  "formula": "Cu2ReAs",
  "functional": "GGA-PBE",
  "state": "optimized geometry",
  "total_magnetization_mub_per_fu": 0.0,
  "n_ef_per_ev_atom": 0.348,
  "delta_e_f_ev_per_atom": 0.334,
  "lattice_angstrom": [[2.6663, 0.0125, 0.0000], [-0.0522, 2.6658, 0.0000], [0.0000, 0.0000, 8.1619]],
  "species": ["Cu", "As", "Cu", "Re"],
  "fractional_positions": [[0.0000, 0.0000, 0.4872], [0.5000, 0.5000, 0.7500], [0.0000, 0.0000, 0.0128], [0.5000, 0.5000, 0.2500]]
}

***

{
  "formula": "KPd2Au2",
  "functional": "GGA-PBE",
  "state": "optimized geometry",
  "total_magnetization_mub_per_fu": 0.0,
  "n_ef_per_ev_atom": 0.613,
  "de_polymorph_mev_per_atom": 187.1,
  "delta_e_f_ev_per_atom": 0.065,
  "lattice_angstrom": [[4.6788, 0.0000, 0.0000], [0.0000, 4.6788, 0.0000], [2.3394, 2.3394, 5.2803]],
  "species": ["Au", "Au", "K", "Pd", "Pd"],
  "fractional_positions": [[0.2500, 0.7500, 0.5000], [0.7500, 0.2500, 0.5000], [0.0000, 0.0000, 0.0000], [0.6228, 0.6228, 0.7544], [0.3772, 0.3772, 0.2456]]
}

***

{
  "formula": "NaMgClF2",
  "functional": "GGA-PBE",
  "state": "optimized geometry",
  "total_magnetization_mub_per_fu": 0.0,
  "raw_formation_energy_ev_per_atom": -2.715,
  "n_ef_per_ev_atom": 0.000,
  "lattice_angstrom": [[3.9340, 0.0000, 0.0000], [0.0000, 3.9340, 0.0000], [0.0000, 0.0000, 5.2152]],
  "species": ["Mg", "F", "Na", "F", "Cl"],
  "fractional_positions": [[0.0000, 0.0000, 0.0000], [0.0000, 0.5000, 0.0000], [0.5000, 0.5000, 0.5000], [0.5000, 0.0000, 0.0000], [0.0000, 0.0000, 0.5000]]
}

***

{
  "formula": "Hf6Sb3O",
  "functional": "GGA-PBE",
  "state": "optimized geometry",
  "total_magnetization_mub_per_fu": 0.0,
  "raw_formation_energy_ev_per_atom": -0.764,
  "n_ef_per_ev_atom": 0.782,
  "lattice_angstrom": [[5.2199, 0.0000, 0.0000], [0.0000, 9.1340, -0.3363], [0.0000, -2.3661, 8.8286]],
  "species": ["Hf", "Hf", "Sb", "Hf", "Hf", "Sb", "Sb", "Hf", "Hf", "Hf", "O", "O", "Hf", "Hf", "Sb", "Hf", "Hf", "Sb", "Sb", "Hf"],
  "fractional_positions": [[0.6226, 0.5937, 0.7424], [0.2237, 0.4152, 0.9186], [0.6120, 0.2657, 0.0786], [0.1226, 0.4063, 0.2576], [0.7148, 0.2632, 0.7368], [0.6162, 0.5873, 0.4127], [0.1120, 0.0786, 0.2657], [0.2237, 0.0814, 0.5848], [0.7237, 0.5848, 0.0814], [0.1226, 0.7424, 0.5937], [0.0645, 0.1948, 0.8052], [0.5645, 0.8052, 0.1948], [0.1732, 0.0620, 0.9380], [0.2148, 0.7368, 0.2632], [0.1162, 0.4127, 0.5873], [0.6226, 0.2576, 0.4063], [0.6732, 0.9380, 0.0620], [0.1120, 0.7343, 0.9214], [0.6120, 0.9214, 0.7343], [0.7237, 0.9186, 0.4152]]
}

***

{
  "formula": "ScTl2Se3",
  "functional": "GGA-PBE",
  "state": "optimized geometry",
  "total_magnetization_mub_per_fu": 0.0,
  "raw_formation_energy_ev_per_atom": -0.896,
  "n_ef_per_ev_atom": 0.194,
  "lattice_angstrom": [[6.9914, -0.0391, -1.1518], [-3.7817, 5.8805, -1.1518], [0.1493, 0.2718, 7.9403]],
  "species": ["Se", "Se", "Sc", "Se", "Tl", "Tl", "Se", "Se", "Se", "Tl", "Sc", "Tl"],
  "fractional_positions": [[0.4014, 0.0878, 0.2040], [0.9122, 0.5986, 0.7960], [0.0029, 0.9971, 0.0000], [0.6189, 0.9522, 0.8035], [0.1707, 0.8293, 0.5000], [0.4960, 0.5040, 0.5000], [0.2653, 0.2456, 0.7960], [0.7544, 0.7347, 0.2040], [0.0478, 0.3811, 0.1965], [0.8334, 0.1666, 0.5000], [0.6638, 0.3362, 0.0000], [0.3333, 0.6667, 0.0000]]
}

***

{
  "formula": "Y2MnGe",
  "functional": "GGA-PBE",
  "state": "optimized geometry",
  "total_magnetization_mub_per_fu": 2.2,
  "n_ef_per_ev_atom": 0.897,
  "delta_e_f_ev_per_atom": -0.375,
  "lattice_angstrom": [[5.7988, -0.2964, 0.1147], [1.3213, 5.5516, -0.7762], [1.9269, 1.3810, 5.3547]],
  "species": ["Ge", "Ge", "Y", "Mn", "Y", "Y", "Mn", "Y"],
  "fractional_positions": [[0.6638, 0.7559, 0.6467], [0.3362, 0.2441, 0.3533], [0.4747, 0.2794, 0.8058], [0.9797, 0.3862, 0.7117], [0.5253, 0.7206, 0.1942], [0.8954, 0.1493, 0.2430], [0.0203, 0.6138, 0.2883], [0.1046, 0.8507, 0.7570]]
}

***

{
  "formula": "Ho4HgPd7",
  "functional": "GGA-PBE",
  "state": "optimized geometry",
  "total_magnetization_mub_per_fu": 0.0,
  "n_ef_per_ev_atom": 0.457,
  "delta_e_f_ev_per_atom": -0.645,
  "lattice_angstrom": [[-3.7326, -3.1238, 1.8952], [4.3347, -7.8375, 2.8166], [-1.0616, 0.4626, 5.8694]],
  "species": ["Pd", "Ho", "Pd", "Pd", "Ho", "Ho", "Ho", "Pd", "Pd", "Hg", "Pd", "Pd"],
  "fractional_positions": [[0.7897, 0.9043, 0.5163], [0.4047, 0.7883, 0.4023], [0.9244, 0.3149, 0.8362], [0.3682, 0.5194, 0.7441], [0.7907, 0.6325, 0.7860], [0.2093, 0.3675, 0.2140], [0.5953, 0.2117, 0.5977], [0.2103, 0.0957, 0.4837], [0.6318, 0.4806, 0.2559], [0.0000, 0.0000, 0.0000], [0.5000, 0.0000, 0.0000], [0.0756, 0.6851, 0.1638]]
}

***

{
  "formula": "AlBr2Cl",
  "functional": "GGA-PBE",
  "state": "optimized geometry",
  "total_magnetization_mub_per_fu": 0.0,
  "raw_formation_energy_ev_per_atom": -0.491,
  "n_ef_per_ev_atom": 0.202,
  "de_polymorph_mev_per_atom": 703.2,
  "lattice_angstrom": [[7.7652, 0.0003, 0.0002], [6.8448, 3.6671, 0.0002], [6.8448, 1.7182, 3.2396]],
  "species": ["Br", "Br", "Cl", "Al"],
  "fractional_positions": [[0.0182, 0.0182, 0.0182], [0.4818, 0.4818, 0.4818], [0.2500, 0.2500, 0.2500], [0.7500, 0.7500, 0.7500]]
}

***

{
  "formula": "HoInPt2",
  "functional": "GGA-PBE",
  "state": "optimized geometry",
  "total_magnetization_mub_per_fu": 0.0,
  "n_ef_per_ev_atom": 0.719,
  "delta_e_f_ev_per_atom": -0.981,
  "lattice_angstrom": [[-2.8653, -2.3096, -2.7236], [4.4839, 0.0644, -0.9235], [1.1439, -7.3629, 5.0404]],
  "species": ["In", "Ho", "Pt", "Ho", "Pt", "Pt", "Pt", "In"],
  "fractional_positions": [[0.0000, 0.0000, 0.0000], [0.3333, 0.6667, 0.2500], [0.3333, 0.6667, 0.5915], [0.6667, 0.3333, 0.7500], [0.3333, 0.6667, 0.9085], [0.6667, 0.3333, 0.0915], [0.6667, 0.3333, 0.4085], [0.0000, 0.0000, 0.5000]]
}

***

{
  "formula": "InCuOs2",
  "functional": "GGA-PBE",
  "state": "optimized geometry",
  "total_magnetization_mub_per_fu": 0.0,
  "n_ef_per_ev_atom": 0.962,
  "delta_e_f_ev_per_atom": 0.464,
  "lattice_angstrom": [[-0.7449, 4.0534, -2.3283], [-2.8723, 2.3058, -2.9731], [-2.9114, 2.3616, 3.2048]],
  "species": ["Os", "In", "Os", "Cu"],
  "fractional_positions": [[0.4941, 0.4941, 0.5304], [0.2500, 0.2500, 0.2500], [0.0059, 0.0059, 0.9696], [0.7500, 0.7500, 0.7500]]
}

***

{
  "formula": "AlIn2Mo",
  "functional": "GGA-PBE",
  "state": "optimized geometry",
  "total_magnetization_mub_per_fu": 0.3,
  "n_ef_per_ev_atom": 0.490,
  "delta_e_f_ev_per_atom": 0.204,
  "lattice_angstrom": [[-3.8156, -0.4337, -3.7586], [-4.0893, -3.2341, 1.3009], [2.5812, 4.2557, 2.0250]],
  "species": ["In", "Mo", "Al", "In"],
  "fractional_positions": [[0.2559, 0.7559, 0.5000], [0.5143, 0.5143, 0.0000], [0.7358, 0.2358, 0.5000], [0.9939, 0.9939, 0.0000]]
}

***

{
  "formula": "Dy5TmTh2",
  "functional": "GGA-PBE",
  "state": "optimized geometry",
  "total_magnetization_mub_per_fu": 0.0,
  "n_ef_per_ev_atom": 1.711,
  "de_polymorph_mev_per_atom": 0.0,
  "delta_e_f_ev_per_atom": 0.099,
  "lattice_angstrom": [[-3.2245, -1.3182, 0.3888], [0.6334, -3.8902, 7.8627], [-3.7374, 6.0193, 5.2114]],
  "species": ["Dy", "Th", "Th", "Dy", "Dy", "Dy", "Dy", "Tm"],
  "fractional_positions": [[0.6300, 0.1343, 0.6056], [0.2580, 0.2420, 0.2420], [0.7420, 0.7580, 0.7580], [0.0000, 0.5000, 0.5000], [0.3700, 0.3944, 0.8657], [0.3700, 0.8657, 0.3944], [0.6300, 0.6056, 0.1343], [0.0000, 0.0000, 0.0000]]
}

***

{
  "formula": "DyErTmIn",
  "functional": "GGA-PBE",
  "state": "optimized geometry",
  "total_magnetization_mub_per_fu": 0.0,
  "n_ef_per_ev_atom": 1.312,
  "de_polymorph_mev_per_atom": 0.0,
  "delta_e_f_ev_per_atom": -0.262,
  "lattice_angstrom": [[-0.4211, 3.2043, -3.5556], [-2.8198, -3.0551, -2.4193], [-3.8735, 1.8742, 2.1478]],
  "species": ["In", "Tm", "Er", "Dy"],
  "fractional_positions": [[0.5000, 0.0000, 0.5000], [0.5000, 0.5000, 0.0000], [0.0000, 0.5000, 0.5000], [0.0000, 0.0000, 0.0000]]
}

***

{
  "formula": "CsBe2Pd",
  "functional": "GGA-PBE",
  "state": "optimized geometry",
  "total_magnetization_mub_per_fu": 0.0,
  "n_ef_per_ev_atom": 0.730,
  "delta_e_f_ev_per_atom": 1.321,
  "lattice_angstrom": [[-1.8068, 1.3402, 4.4323], [-4.3232, 2.4356, 0.2882], [-4.0177, -2.2773, 1.8378]],
  "species": ["Cs", "Be", "Pd", "Be"],
  "fractional_positions": [[0.5000, 0.5000, 0.5000], [0.7500, 0.7500, 0.7500], [0.0000, 0.0000, 0.0000], [0.2500, 0.2500, 0.2500]]
}

***

{
  "formula": "TbPmNi2As2",
  "functional": "GGA-PBE",
  "state": "optimized geometry",
  "total_magnetization_mub_per_fu": 0.0,
  "n_ef_per_ev_atom": 0.479,
  "delta_e_f_ev_per_atom": -1.054,
  "lattice_angstrom": [[-1.2511, -2.4091, 3.0487], [3.4778, 2.1070, 0.3593], [-3.9962, 6.0594, 3.1482]],
  "species": ["As", "As", "Ni", "Pm", "Tb", "Ni"],
  "fractional_positions": [[0.6667, 0.3333, 0.7438], [0.3333, 0.6667, 0.2562], [0.6667, 0.3333, 0.2552], [0.0000, 0.0000, 0.0000], [0.0000, 0.0000, 0.5000], [0.3333, 0.6667, 0.7448]]
}

***

These records have total DFT energy (no corrections) values of -5.635, -5.995, -8.646, -6.093, -4.865, -5.989, -3.542, -4.415, -8.469, -4.482, -7.054, -5.225, -2.725, -5.830, -6.859, -4.809, -5.191, -4.356, -2.054, -6.095 eV per atom, in the order they appear.